Here is crystalline Ta2GeN at its relaxed geometry from Alexandria. Energies are from PBE.

Unit cell a=3.2382 b=3.2382 c=6.6127 alpha=75.83 beta=75.83 gamma=60.00
Sites, in units of the cell vectors:
Ge: 0.5000 0.5000 0.5000
N: 0.0000 0.0000 0.0000
Ta: 0.2747 0.2747 0.1758
Ta: 0.7253 0.7253 0.8242

## Properties
Polymorph energy (0 for the lowest one), eV/atom: 0.0000
ΔE_f (raw), eV per atom: -0.427
Magnetization, μB/f.u.: 0.00
V, Å³ per atom: 14.400